*a*
Here is an optimized crystal structure of CoGeAsSe2 from the Alexandria database. Energies are from PBE-GGA.

Geometry as CIF:
```
data_CoGeAsSe2
_cell_length_a 4.961
_cell_length_b 4.961
_cell_length_c 4.894
_cell_angle_alpha 90.00
_cell_angle_beta 90.00
_cell_angle_gamma 90.00
_space_group_name_H-M_alt 'P 4/m m m'
_space_group_IT_number 123
_space_group_name_Hall '-P 4 2'
loop_
_atom_site_label
_atom_site_type_symbol
_atom_site_fract_x
_atom_site_fract_y
_atom_site_fract_z
Co1 Co 0.000 0.000 0.000
Ge1 Ge 0.500 0.500 0.500
As1 As 0.500 0.500 0.000
Se1 Se 0.000 0.500 0.500
```

=====

*b*
Here is an optimized crystal structure of CoGeAsSe2 from the Alexandria database. Energies are from PBE-GGA.

Geometry as CIF:
```
data_CoGeAsSe2
_cell_length_a 4.936
_cell_length_b 4.936
_cell_length_c 4.290
_cell_angle_alpha 90.00
_cell_angle_beta 90.00
_cell_angle_gamma 90.00
_space_group_name_H-M_alt 'P 4/m m m'
_space_group_IT_number 123
_space_group_name_Hall '-P 4 2'
loop_
_atom_site_label
_atom_site_type_symbol
_atom_site_fract_x
_atom_site_fract_y
_atom_site_fract_z
Co1 Co 0.000 0.000 0.000
Ge1 Ge 0.500 0.500 0.500
As1 As 0.000 0.000 0.500
Se1 Se 0.000 0.500 0.000
```

=====

Tell me which of them is the least stable. Sure, it is *a*.

=====

*a*
Here is an optimized crystal structure of CoAsH2 from the Alexandria database. Energies are from PBE-GGA.

Geometry as CIF:
```
data_CoAsH2
_cell_length_a 5.158
_cell_length_b 5.158
_cell_length_c 5.158
_cell_angle_alpha 90.00
_cell_angle_beta 90.00
_cell_angle_gamma 90.00
_space_group_name_H-M_alt 'F m -3 m'
_space_group_IT_number 225
_space_group_name_Hall '-F 4 2 3'
loop_
_atom_site_label
_atom_site_type_symbol
_atom_site_fract_x
_atom_site_fract_y
_atom_site_fract_z
Co1 Co 0.000 0.000 0.000
As1 As 0.000 0.000 0.500
H1 H 0.250 0.250 0.250
```

=====

*b*
Here is an optimized crystal structure of CoAsH2 from the Alexandria database. Energies are from PBE-GGA.

Geometry as CIF:
```
data_CoAsH2
_cell_length_a 4.200
_cell_length_b 4.200
_cell_length_c 8.524
_cell_angle_alpha 90.00
_cell_angle_beta 90.00
_cell_angle_gamma 90.00
_space_group_name_H-M_alt 'I -4 2 d'
_space_group_IT_number 122
_space_group_name_Hall 'I -4 2bw'
loop_
_atom_site_label
_atom_site_type_symbol
_atom_site_fract_x
_atom_site_fract_y
_atom_site_fract_z
Co1 Co 0.000 0.000 0.000
As1 As 0.000 0.000 0.500
H1 H 0.103 0.250 0.125
```

=====

Tell me which of them is the least stable. Sure, it is *a*.

=====

*a*
Here is an optimized crystal structure of CoAs2HSe from the Alexandria database. Energies are from PBE-GGA.

Geometry as CIF:
```
data_CoAs2HSe
_cell_length_a 3.864
_cell_length_b 3.864
_cell_length_c 5.102
_cell_angle_alpha 90.00
_cell_angle_beta 90.00
_cell_angle_gamma 90.00
_space_group_name_H-M_alt 'P 4/m m m'
_space_group_IT_number 123
_space_group_name_Hall '-P 4 2'
loop_
_atom_site_label
_atom_site_type_symbol
_atom_site_fract_x
_atom_site_fract_y
_atom_site_fract_z
Co1 Co 0.000 0.000 0.000
As1 As 0.000 0.500 0.500
H1 H 0.500 0.500 0.500
Se1 Se 0.500 0.500 0.000
```

=====

*b*
Here is an optimized crystal structure of CoAs2HSe from the Alexandria database. Energies are from PBE-GGA.

Geometry as CIF:
```
data_CoAs2HSe
_cell_length_a 4.435
_cell_length_b 4.435
_cell_length_c 4.909
_cell_angle_alpha 90.00
_cell_angle_beta 90.00
_cell_angle_gamma 90.00
_space_group_name_H-M_alt 'P 4/m m m'
_space_group_IT_number 123
_space_group_name_Hall '-P 4 2'
loop_
_atom_site_label
_atom_site_type_symbol
_atom_site_fract_x
_atom_site_fract_y
_atom_site_fract_z
Co1 Co 0.000 0.000 0.000
As1 As 0.000 0.500 0.000
H1 H 0.500 0.500 0.500
Se1 Se 0.000 0.000 0.500
```

=====

Tell me which of them is the least stable. Sure, it is *b*.

=====

*a*
Here is an optimized crystal structure of HfCoAs3 from the Alexandria database. Energies are from PBE-GGA.

Geometry as CIF:
```
data_HfCoAs3
_cell_length_a 5.081
_cell_length_b 5.081
_cell_length_c 5.081
_cell_angle_alpha 90.00
_cell_angle_beta 90.00
_cell_angle_gamma 90.00
_space_group_name_H-M_alt 'P m -3 m'
_space_group_IT_number 221
_space_group_name_Hall '-P 4 2 3'
loop_
_atom_site_label
_atom_site_type_symbol
_atom_site_fract_x
_atom_site_fract_y
_atom_site_fract_z
Hf1 Hf 0.000 0.000 0.000
Co1 Co 0.500 0.500 0.500
As1 As 0.000 0.000 0.500
```

=====

*b*
Here is an optimized crystal structure of HfCoAs3 from the Alexandria database. Energies are from PBE-GGA.

Geometry as CIF:
```
data_HfCoAs3
_cell_length_a 4.569
_cell_length_b 4.569
_cell_length_c 4.569
_cell_angle_alpha 90.00
_cell_angle_beta 90.00
_cell_angle_gamma 90.00
_space_group_name_H-M_alt 'P m -3 m'
_space_group_IT_number 221
_space_group_name_Hall '-P 4 2 3'
loop_
_atom_site_label
_atom_site_type_symbol
_atom_site_fract_x
_atom_site_fract_y
_atom_site_fract_z
Hf1 Hf 0.000 0.000 0.000
Co1 Co 0.500 0.500 0.500
As1 As 0.000 0.500 0.500
```

=====

Tell me which of them is the least stable. Sure, it is *a*.

=====

*a*
Here is an optimized crystal structure of Hf3CoAs from the Alexandria database. Energies are from PBE-GGA.

Geometry as CIF:
```
data_Hf3CoAs
_cell_length_a 9.003
_cell_length_b 5.882
_cell_length_c 7.778
_cell_angle_alpha 90.00
_cell_angle_beta 115.05
_cell_angle_gamma 90.00
_space_group_name_H-M_alt 'C 1 2/m 1'
_space_group_IT_number 12
loop_
_space_group_symop_operation_xyz
'x,y,z'
'-x,-y,-z'
'-x,y,-z'
'x,-y,z'
'x+1/2,y+1/2,z'
'-x+1/2,-y+1/2,-z'
'-x+1/2,y+1/2,-z'
'x+1/2,-y+1/2,z'
loop_
_atom_site_label
_atom_site_type_symbol
_atom_site_fract_x
_atom_site_fract_y
_atom_site_fract_z
Hf1 Hf 0.006 0.000 0.217
Hf2 Hf 0.190 0.500 0.852
Hf3 Hf 0.202 0.500 0.340
Co1 Co 0.000 0.306 0.000
As1 As 0.000 0.265 0.500
```

=====

*b*
Here is an optimized crystal structure of Hf3CoAs from the Alexandria database. Energies are from PBE-GGA.

Geometry as CIF:
```
data_Hf3CoAs
_cell_length_a 4.745
_cell_length_b 4.745
_cell_length_c 4.745
_cell_angle_alpha 90.00
_cell_angle_beta 90.00
_cell_angle_gamma 90.00
_space_group_name_H-M_alt 'P m -3 m'
_space_group_IT_number 221
_space_group_name_Hall '-P 4 2 3'
loop_
_atom_site_label
_atom_site_type_symbol
_atom_site_fract_x
_atom_site_fract_y
_atom_site_fract_z
Hf1 Hf 0.000 0.000 0.500
Co1 Co 0.000 0.000 0.000
As1 As 0.500 0.500 0.500
```

=====

Tell me which of them is the least stable. Sure, it is *b*.

=====

*a*
Here is an optimized crystal structure of HfCoAsSe2 from the Alexandria database. Energies are from PBE-GGA.

Geometry as CIF:
```
data_HfCoAsSe2
_cell_length_a 4.695
_cell_length_b 4.695
_cell_length_c 4.436
_cell_angle_alpha 90.00
_cell_angle_beta 90.00
_cell_angle_gamma 90.00
_space_group_name_H-M_alt 'P 4/m m m'
_space_group_IT_number 123
_space_group_name_Hall '-P 4 2'
loop_
_atom_site_label
_atom_site_type_symbol
_atom_site_fract_x
_atom_site_fract_y
_atom_site_fract_z
Hf1 Hf 0.000 0.000 0.000
Co1 Co 0.500 0.500 0.500
As1 As 0.500 0.500 0.000
Se1 Se 0.000 0.500 0.500
```

=====

*b*
Here is an optimized crystal structure of HfCoAsSe2 from the Alexandria database. Energies are from PBE-GGA.

Geometry as CIF:
```
data_HfCoAsSe2
_cell_length_a 5.111
_cell_length_b 5.111
_cell_length_c 5.188
_cell_angle_alpha 90.00
_cell_angle_beta 90.00
_cell_angle_gamma 90.00
_space_group_name_H-M_alt 'P 4/m m m'
_space_group_IT_number 123
_space_group_name_Hall '-P 4 2'
loop_
_atom_site_label
_atom_site_type_symbol
_atom_site_fract_x
_atom_site_fract_y
_atom_site_fract_z
Hf1 Hf 0.000 0.000 0.000
Co1 Co 0.500 0.500 0.500
As1 As 0.000 0.000 0.500
Se1 Se 0.000 0.500 0.000
```

=====

Tell me which of them is the least stable. Sure, it is *b*.